# Y2TiF (PBE-GGA, optimized geometry)
# Raw formation energy = -0.150 eV per atom
# Polymorph energy (0 for the lowest one) = 672.4 meV/atom
# DOS(E_F) = 1.2649 states/eV per atom
data_Y2TiF
_symmetry_space_group_name_H-M 'F m -3 m'
_symmetry_Int_Tables_number 225
_symmetry_space_group_name_Hall '-F 4 2 3'
_cell_length_a 7.282
_cell_length_b 7.282
_cell_length_c 7.282
_cell_angle_alpha 90.00
_cell_angle_beta 90.00
_cell_angle_gamma 90.00
loop_
_atom_site_label
_atom_site_type_symbol
_atom_site_fract_x
_atom_site_fract_y
_atom_site_fract_z
Y1 Y 0.250 0.250 0.250
Ti1 Ti 0.000 0.000 0.000
F1 F 0.000 0.000 0.500